# 1
First-principles (PBE-GGA) data for crystalline Na3NdY2Se6 at its relaxed geometry, as listed in Alexandria.

```
data_Na3NdY2Se6
_chemical_formula_sum 'Na6 Nd2 Y4 Se12'
_cell_length_a 7.2656
_cell_length_b 12.5869
_cell_length_c 7.4206
_cell_angle_alpha 90.00
_cell_angle_beta 109.07
_cell_angle_gamma 90.00
_space_group_name_H-M_alt 'C 1 2/m 1'
_space_group_IT_number 12
_space_group_name_Hall '-C 2y'
loop_
_atom_site_label
_atom_site_fract_x
_atom_site_fract_y
_atom_site_fract_z
Na1 0.0000 0.0000 0.0000
Na2 0.0000 0.3344 0.0000
Nd1 0.0000 0.5000 0.5000
Y1 0.0000 0.1669 0.5000
Se1 0.2365 0.0000 0.7323
Se2 0.2478 0.3296 0.7317
```

Properties
D(E_F)	0.00	states/eV/f.u.
total magnetization	0.00	μB per atom
VASP energy	-0.3858	Ry per atom
E_form (uncorrected)	-1703.0	meV/atom

=====

# 2
First-principles (PBE-GGA) data for crystalline CaHo7Er2 at its relaxed geometry, as listed in Alexandria.

```
data_CaHo7Er2
_chemical_formula_sum 'Ca1 Ho7 Er2'
_cell_length_a 6.1322
_cell_length_b 6.1409
_cell_length_c 9.3947
_cell_angle_alpha 70.93
_cell_angle_beta 71.11
_cell_angle_gamma 80.34
_space_group_name_H-M_alt 'P -1'
_space_group_IT_number 2
_space_group_name_Hall '-P 1'
loop_
_atom_site_label
_atom_site_fract_x
_atom_site_fract_y
_atom_site_fract_z
Ca1 0.0000 0.0000 0.0000
Ho1 0.2040 0.9996 0.5943
Ho2 0.3127 0.4983 0.8964
Ho3 0.3946 0.9998 0.2063
Ho4 0.5000 0.5000 0.5000
Er1 0.0993 0.4915 0.3037
```

Properties
D(E_F)	14.70	states/eV/f.u.
total magnetization	0.00	μB per atom
VASP energy	-0.3129	Ry per atom
energy relative to the elements	60.3	meV per atom